! LaPd, relaxed, DFT GGA-PBE; values from VASP
! Electronic total energy in eV/cell: -83.48
! E_form in eV/atom: -0.157
&SYSTEM
  ibrav = 0, nat = 16, ntyp = 2
/
ATOMIC_SPECIES
La 138.91 La.upf
Pd 106.42 Pd.upf
CELL_PARAMETERS angstrom
8.727 0.000 0.000
0.000 8.727 0.000
0.000 0.000 8.727
ATOMIC_POSITIONS angstrom
La 7.014 1.712 1.712
Pd 7.697 7.697 1.030
La 7.014 7.014 7.014
La 6.076 6.076 2.651
Pd 1.030 1.030 1.030
Pd 5.393 3.334 3.334
Pd 5.393 5.393 5.393
La 1.712 1.712 7.014
Pd 7.697 1.030 7.697
Pd 1.030 7.697 7.697
La 2.651 6.076 6.076
La 6.076 2.651 6.076
Pd 3.334 5.393 3.334
La 2.651 2.651 2.651
Pd 3.334 3.334 5.393
La 1.712 7.014 1.712